VASP calculation (PBE-GGA) on a geometry-optimized SmDy2Mg structure.

Results
Its polymorph energy (0 for the lowest one) is 0.000 eV/atom. For the raw total energy, the calculation gives -3.91 eV/atom.

Cell: 7.2165 7.2194 9.9177 Å, 90.00 111.26 90.00°
Closest atoms and distances in Å follow each position.
Space group C2/m (No. 12)
Unique sites:
1 Sm 0.1317 0.0000 0.2630 x4  4 Mg 3.36, 8 Dy 3.52-3.61
2 Dy 0.1337 0.5000 0.2671 x4  4 Mg 3.34, 4 Dy 3.55, 4 Sm 3.61
3 Dy 0.2500 0.2500 0.0000 x4  4 Sm 3.52-3.53, 8 Dy 3.55-3.61
4 Mg 0.0000 0.2499 0.5000 x4  4 Dy 3.34, 4 Sm 3.36, 4 Mg 3.61

***

VASP calculation (PBE-GGA) on a geometry-optimized MgNbSb structure.

Results
For the raw total energy, the calculation gives -5.53 eV/atom. For the formation energy without anion corrections, the calculation gives -0.266 eV per atom.

Cell: 4.2849 4.2849 7.1145 Å, 90.00 90.00 90.00°
Closest atoms and distances in Å follow each position.
Space group P4/nmm (No. 129, origin choice 2)
Unique sites:
1 Mg 0.2500 0.2500 0.1868 x2  5 Sb 2.90-3.04, 4 Nb 3.09
2 Nb 0.2500 0.7500 0.5000 x2  4 Sb 2.92, 4 Nb 3.03, 4 Mg 3.09
3 Sb 0.2500 0.2500 0.7789 x2  5 Mg 2.90-3.04, 4 Nb 2.92

***

VASP calculation (PBE-GGA) on a geometry-optimized Ca2ThI8 structure.

Results
For the raw total energy, the calculation gives -3.45 eV/atom. For the formation energy without anion corrections, the calculation gives -1.280 eV per atom.

Cell: 9.8349 9.8349 6.3863 Å, 90.00 90.00 120.00°
Closest atoms and distances in Å follow each position.
Space group P-3m1 (No. 164)
Unique sites:
1 Ca 0.3333 0.6667 0.2061 x2  5 I 3.10-3.29
2 Th 0.0000 0.0000 0.0000 x1  6 I 3.07
3 I 0.1521 0.3042 0.2580 x6  1 Th 3.07, 1 Ca 3.10
4 I 0.3333 0.6667 0.7211 x2  2 Ca 3.10-3.29

***

VASP calculation (PBE-GGA) on a geometry-optimized ErPbAu2 structure.

Results
For the raw total energy, the calculation gives -4.20 eV/atom.

Cell: 4.6985 4.6985 4.1165 Å, 90.00 90.00 90.00°
Closest atoms and distances in Å follow each position.
Space group P4/mmm (No. 123)
Unique sites:
1 Er 0.0000 0.0000 0.0000 x1  8 Au 3.12, 4 Pb 3.32
2 Pb 0.5000 0.5000 0.0000 x1  8 Au 3.12, 4 Er 3.32
3 Au 0.0000 0.5000 0.5000 x2  4 Pb 3.12, 4 Er 3.12, 4 Au 3.32

***

Among the records above, which one has the lowest raw total energy?
MgNbSb